Record 1
An optimized crystal structure of NpNiAs2Pd. Source: the Alexandria database, functional PBE-GGA.

The structure in POSCAR format:
```
NpNiAs2Pd
1.0
2.6909 -6.2915 0.0000
2.6909 6.2915 0.0000
0.0000 0.0000 5.3230
Np Ni As Pd
2 2 4 2
Cartesian
2.6909 3.1458 4.2382 Np
2.6909 -3.1458 1.0849 Np
1.3454 0.0000 2.6615 Ni
4.0363 0.0000 2.6615 Ni
2.6909 4.5527 1.6709 As
2.6909 1.7388 1.6709 As
2.6909 -1.7388 3.6522 As
2.6909 -4.5527 3.6522 As
0.0000 0.0000 0.0000 Pd
2.6909 0.0000 0.0000 Pd
```

total magnetic moment: 4.10 μB/f.u.
VASP energy: -6.939 eV/atom

Record 2
An optimized crystal structure of Ca2MoPt. Source: the Alexandria database, functional PBE-GGA.

The structure in POSCAR format:
```
Ca2MoPt
1.0
-4.1149 4.1149 2.7635
4.1149 -4.1149 2.7635
4.1149 4.1149 -2.7635
Ca Mo Pt
4 2 2
Cartesian
6.1724 1.7168 -0.6909 Ca
1.7168 2.0575 0.6909 Ca
-2.0575 2.3981 2.0726 Ca
2.3981 2.0575 3.4543 Ca
4.1149 0.0000 1.3817 Mo
0.0000 0.0000 2.7635 Mo
0.0000 0.0000 0.0000 Pt
0.0000 4.1149 1.3817 Pt
```

total magnetic moment: 0.00 μB/f.u.
VASP energy: -4.695 eV/atom

Record 3
An optimized crystal structure of LaAg2Os. Source: the Alexandria database, functional PBE-GGA.

The structure in POSCAR format:
```
LaAg2Os
1.0
5.0731 -1.6739 0.0000
5.0731 1.6739 0.0000
-2.8495 0.0000 5.1212
La Ag Os
1 2 1
Cartesian
0.0000 0.0000 0.0000 La
0.0941 0.0000 3.1736 Ag
2.9504 0.0000 2.2847 Ag
7.3424 0.0000 0.1664 Os
```

total magnetic moment: 0.00 μB/f.u.
VASP energy: -5.113 eV/atom

Record 4
An optimized crystal structure of HfV2ZnC. Source: the Alexandria database, functional PBE-GGA.

The structure in POSCAR format:
```
HfV2ZnC
1.0
4.0679 0.0000 0.0000
0.0000 4.0679 0.0000
0.0000 0.0000 4.1763
Hf V Zn C
1 2 1 1
Cartesian
0.0000 0.0000 0.0000 Hf
0.0000 2.0339 2.0882 V
2.0339 0.0000 2.0882 V
2.0339 2.0339 0.0000 Zn
2.0339 2.0339 2.0882 C
```

total magnetic moment: 0.00 μB/f.u.
VASP energy: -7.668 eV/atom

Record 5
An optimized crystal structure of V3Pt7. Source: the Alexandria database, functional PBE-GGA.

The structure in POSCAR format:
```
V3Pt7
1.0
5.3128 0.0000 0.0000
-0.0077 8.1168 0.0000
-0.0854 -4.0552 7.5334
V Pt
6 14
Cartesian
0.0671 0.0010 2.7631 V
1.9492 2.2968 1.3705 V
1.9423 5.8242 1.3668 V
3.2774 -1.7626 6.1666 V
3.2705 1.7648 6.1629 V
5.1526 4.0606 4.7703 V
0.4747 4.0587 2.3090 Pt
0.8419 2.6381 6.6167 Pt
0.8515 -2.6402 6.6196 Pt
1.2911 -1.9372 3.9287 Pt
1.2877 1.9392 3.9295 Pt
1.3837 -0.0008 6.9439 Pt
2.5287 0.0021 2.2904 Pt
2.6911 4.0595 5.2430 Pt
3.8361 4.0624 0.5895 Pt
3.9321 2.1224 3.6039 Pt
3.9286 5.9988 3.6047 Pt
4.3682 6.7018 0.9138 Pt
4.3779 1.4235 0.9168 Pt
4.7451 0.0029 5.2244 Pt
```

total magnetic moment: 0.00 μB/f.u.
VASP energy: -7.223 eV/atom

Record 6
An optimized crystal structure of Na2LiIrN. Source: the Alexandria database, functional PBE-GGA.

The structure in POSCAR format:
```
Na2LiIrN
1.0
5.0138 0.0000 0.0000
0.0000 5.0138 0.0000
0.0000 0.0000 3.7464
Na Li Ir N
2 1 1 1
Cartesian
0.0000 2.5069 0.0000 Na
2.5069 0.0000 0.0000 Na
0.0000 0.0000 1.8732 Li
2.5069 2.5069 1.8732 Ir
2.5069 2.5069 0.0000 N
```

total magnetic moment: 0.62 μB/f.u.
raw formation energy: -0.01 eV/atom

Record 7
An optimized crystal structure of La3Tb12Sm. Source: the Alexandria database, functional PBE-GGA.

The structure in POSCAR format:
```
La3Tb12Sm
1.0
5.0949 0.0000 0.0000
0.0000 5.0949 0.0000
0.0000 0.0000 20.3688
La Tb Sm
3 12 1
Cartesian
0.0000 0.0000 0.0000 La
0.0000 0.0000 5.0979 La
0.0000 0.0000 15.2709 La
0.0000 2.5474 2.5572 Tb
0.0000 2.5474 7.6784 Tb
0.0000 2.5474 12.6904 Tb
0.0000 2.5474 17.8116 Tb
2.5474 0.0000 2.5572 Tb
2.5474 0.0000 7.6784 Tb
2.5474 0.0000 12.6904 Tb
2.5474 0.0000 17.8116 Tb
2.5474 2.5474 0.0000 Tb
2.5474 2.5474 5.1247 Tb
2.5474 2.5474 10.1844 Tb
2.5474 2.5474 15.2440 Tb
0.0000 0.0000 10.1844 Sm
```

total magnetic moment: 0.00 μB/f.u.
VASP energy: -4.667 eV/atom

Record 8
An optimized crystal structure of PaBe4Ga3O12. Source: the Alexandria database, functional PBE-GGA.

The structure in POSCAR format:
```
PaBe4Ga3O12
1.0
4.9039 2.8313 2.5192
-4.9039 2.8313 2.5192
0.0000 -5.6626 2.5192
Pa Be Ga O
1 4 3 12
Cartesian
0.0000 0.0000 0.0000 Pa
-2.1241 -3.6790 3.7789 Be
0.0000 0.0000 3.7789 Be
-2.1241 3.6790 3.7789 Be
4.2482 0.0000 3.7789 Be
-2.7825 -0.8432 2.5192 Ga
2.1215 -1.9881 2.5192 Ga
0.6610 2.8313 2.5192 Ga
-3.0882 -2.4529 3.7241 O
-4.0544 0.0000 3.7789 O
-0.5802 -3.9009 3.8336 O
-3.0882 2.4529 3.8336 O
-1.5309 0.0000 3.7789 O
2.0272 -3.5112 3.7789 O
0.7654 -1.3258 3.7789 O
0.7654 1.3258 3.7789 O
-0.5802 3.9009 3.7241 O
3.6683 -1.4480 3.7241 O
2.0272 3.5112 3.7789 O
3.6683 1.4480 3.8336 O
```

total magnetic moment: 2.07 μB/f.u.
raw formation energy: -2.13 eV/atom

Record 9
An optimized crystal structure of Ti5Ga2P2. Source: the Alexandria database, functional PBE-GGA.

The structure in POSCAR format:
```
Ti5Ga2P2
1.0
6.4317 -3.3345 0.0000
6.4317 3.3345 0.0000
0.0000 0.0000 6.5536
Ti Ga P
10 4 4
Cartesian
0.0000 0.0000 0.0000 Ti
4.8461 2.2100 4.3712 Ti
4.8461 1.1245 1.0944 Ti
8.0173 2.2100 4.3712 Ti
8.0173 1.1245 1.0944 Ti
6.4317 0.0000 3.2768 Ti
4.8461 -1.1245 5.4592 Ti
4.8461 -2.2100 2.1824 Ti
8.0173 -1.1245 5.4592 Ti
8.0173 -2.2100 2.1824 Ti
2.7512 0.0000 0.0000 Ga
3.6805 0.0000 3.2768 Ga
9.1830 0.0000 3.2768 Ga
10.1122 0.0000 0.0000 Ga
6.4317 2.4550 2.4007 P
6.4317 0.8795 5.6775 P
6.4317 -0.8795 0.8761 P
6.4317 -2.4550 4.1529 P
```

total magnetic moment: 0.00 μB/f.u.
VASP energy: -7.055 eV/atom

Record 10
An optimized crystal structure of Nd5Dy8Sc. Source: the Alexandria database, functional PBE-GGA.

The structure in POSCAR format:
```
Nd5Dy8Sc
1.0
7.6787 -4.2476 0.0000
7.6787 4.2476 0.0000
-4.5976 0.0000 7.1728
Nd Dy Sc
5 8 1
Cartesian
0.0000 0.0000 0.0000 Nd
3.5689 1.3436 5.2455 Nd
7.1909 1.3436 1.9273 Nd
5.9499 -1.4370 0.2340 Nd
4.8099 -1.4370 6.9388 Nd
0.4011 1.9502 6.6138 Dy
-1.1093 -0.5361 4.8646 Dy
3.7797 0.3955 2.1218 Dy
10.3587 1.9502 0.5590 Dy
2.1814 -2.1693 4.0878 Dy
6.9801 0.3955 5.0510 Dy
11.8691 -0.5361 2.3082 Dy
8.5784 -2.1693 3.0850 Dy
5.3799 -2.0204 3.5864 Sc
```

total magnetic moment: 0.00 μB/f.u.
VASP energy: -4.595 eV/atom

Record 11
An optimized crystal structure of TbPrGaNi. Source: the Alexandria database, functional PBE-GGA.

The structure in POSCAR format:
```
TbPrGaNi
1.0
0.0000 3.5778 3.5778
3.5778 0.0000 3.5778
3.5778 3.5778 0.0000
Tb Pr Ga Ni
1 1 1 1
Cartesian
0.0000 0.0000 0.0000 Tb
3.5778 3.5778 3.5778 Pr
1.7889 1.7889 1.7889 Ga
5.3667 5.3667 5.3667 Ni
```

total magnetic moment: 0.00 μB/f.u.
VASP energy: -4.913 eV/atom

Record 12
An optimized crystal structure of CaZnGa3. Source: the Alexandria database, functional PBE-GGA.

The structure in POSCAR format:
```
CaZnGa3
1.0
4.9047 0.0000 0.0000
0.0000 4.9047 0.0000
0.0000 0.0000 4.9047
Ca Zn Ga
1 1 3
Cartesian
0.0000 0.0000 0.0000 Ca
2.4524 2.4524 2.4524 Zn
0.0000 2.4524 2.4524 Ga
2.4524 0.0000 2.4524 Ga
2.4524 2.4524 0.0000 Ga
```

total magnetic moment: 0.00 μB/f.u.
VASP energy: -2.459 eV/atom